Fe2AsOsI, relaxed, DFT GGA-PBE; volume = 115.56 Å³/cell; formation energy from raw total energies = 1.5631 eV/atom; Fermi-level density of states = 8.4 states/eV per cell
1.0
4.727 0.000 0.000
0.000 4.727 0.000
0.000 0.000 5.171
Fe As Os I
2 1 1 1
Direct
0.000 0.500 0.000
0.500 0.000 0.000
0.000 0.000 0.500
0.500 0.500 0.000
0.500 0.500 0.500

=====

Li3MgNi, relaxed, DFT GGA-PBE; volume = 93.39 Å³/cell; energy relative to the elements = 0.275 eV/atom; Fermi-level density of states = 2.1 states/eV per cell
1.0
4.537 0.000 0.000
0.000 4.537 0.000
0.000 0.000 4.537
Li Mg Ni
3 1 1
Direct
0.000 0.000 0.500
0.000 0.500 0.000
0.500 0.000 0.000
0.500 0.500 0.500
0.000 0.000 0.000

=====

Pr6Pd2PtBr3, relaxed, DFT GGA-PBE; volume = 367.23 Å³/cell; formation energy from raw total energies = -1.0753 eV/atom; Fermi-level density of states = 9.2 states/eV per cell
1.0
3.687 -6.387 0.000
3.687 6.387 0.000
-2.458 0.000 7.796
Pr Pd Pt Br
6 2 1 3
Direct
0.067 0.397 0.200
0.263 0.263 0.800
0.397 0.067 0.200
0.603 0.933 0.800
0.737 0.737 0.200
0.933 0.603 0.800
0.333 0.667 0.000
0.667 0.333 0.000
0.000 0.000 0.000
0.167 0.833 0.500
0.500 0.500 0.500
0.833 0.167 0.500

=====

La2ScZn3, relaxed, DFT GGA-PBE; volume = 278.37 Å³/cell; energy relative to the elements = -0.255 eV/atom; Fermi-level density of states = 13.4 states/eV per cell
1.0
5.909 0.000 0.000
-2.954 5.117 0.000
0.000 0.000 9.207
La Sc Zn
4 2 6
Direct
0.333 0.667 0.073
0.333 0.667 0.427
0.667 0.333 0.573
0.667 0.333 0.927
0.000 0.000 0.000
0.000 0.000 0.500
0.177 0.353 0.750
0.177 0.823 0.750
0.353 0.177 0.250
0.647 0.823 0.750
0.823 0.177 0.250
0.823 0.647 0.250

=====

Which formula does entry 1 have?
Fe2AsOsI